A relaxed Hf3CdS crystal. Source: Alexandria via LeMat-Bulk, functional PBE.

Summary:
Distance to the lowest polymorph of the same formula in meV/atom: 0
SG: Pm-3m (221)
Raw formation energy in eV per atom: -0.290
V in Å³ per cell: 108
Uncorrected energy in eV per formula unit: -36.351

Geometry as CIF:
```
data_Hf3CdS
_cell_length_a 4.768
_cell_length_b 4.768
_cell_length_c 4.768
_cell_angle_alpha 90.00
_cell_angle_beta 90.00
_cell_angle_gamma 90.00
_space_group_name_H-M_alt 'P 1'
_space_group_IT_number 1
_space_group_name_Hall 'P 1'
loop_
_atom_site_label
_atom_site_fract_x
_atom_site_fract_y
_atom_site_fract_z
Hf1 0.000 0.000 0.500
Hf2 0.000 0.500 0.000
Hf3 0.500 0.000 0.000
Cd1 0.500 0.500 0.500
S1 0.000 0.000 0.000
```

---

A relaxed PmSm12Er6 crystal. Source: Alexandria via LeMat-Bulk, functional PBE.

Summary:
Distance to the lowest polymorph of the same formula in meV/atom: 0
SG: R-3 (148)
Energy relative to the elements in eV/atom: 0.141
V in Å³ per cell: 636
Uncorrected energy in eV per formula unit: -86.079

Geometry as CIF:
```
data_PmSm12Er6
_cell_length_a 8.603
_cell_length_b 8.603
_cell_length_c 8.603
_cell_angle_alpha 88.82
_cell_angle_beta 88.82
_cell_angle_gamma 88.82
_space_group_name_H-M_alt 'P 1'
_space_group_IT_number 1
_space_group_name_Hall 'P 1'
loop_
_atom_site_label
_atom_site_fract_x
_atom_site_fract_y
_atom_site_fract_z
Pm1 0.000 0.000 0.000
Sm1 0.015 0.199 0.361
Sm2 0.199 0.361 0.015
Sm3 0.221 0.462 0.567
Sm4 0.361 0.015 0.199
Sm5 0.433 0.779 0.538
Sm6 0.462 0.567 0.221
Sm7 0.538 0.433 0.779
Sm8 0.567 0.221 0.462
Sm9 0.639 0.985 0.801
Sm10 0.779 0.538 0.433
Sm11 0.801 0.639 0.985
Sm12 0.985 0.801 0.639
Er1 0.098 0.698 0.259
Er2 0.259 0.098 0.698
Er3 0.302 0.741 0.902
Er4 0.698 0.259 0.098
Er5 0.741 0.902 0.302
Er6 0.902 0.302 0.741
```